Here is crystalline CrGaF at its relaxed geometry from Alexandria. Energies are from PBE with a Hubbard U.

```
6
Lattice="3.132 0.000 0.000 -0.907 5.985 0.000 -1.482 -0.791 5.832" Properties=species:S:1:pos:R:3 pbc="T T T"
Cr 0.202 1.500 0.240
Cr 0.541 3.694 5.592
Ga -0.934 5.031 3.827
Ga 1.677 0.163 2.005
F 0.305 3.466 0.983
F 0.438 1.728 4.849
```

M_tot = 8.19 μB/cell
DOS(E_F) = 1.306 states/eV per cell
ΔE to the lowest computed polymorph = 0.0636 eV/atom